Below is crystalline SmCd2Au2 at its relaxed geometry, with properties calculated at the PBE level.

Output
Space group: P2_1/m
Offset from the most stable computed form (meV/atom): 40
Total DFT energy (no corrections) (eV/cell): -30.32
Calculated formation energy (eV/atom): -0.41
Mass density (g cm⁻³): 11.21
Magnetization (μB/cell): 0.00

a b c (Å): 4.910 3.590 12.935
angles (deg): 90.00 91.49 90.00
Fractional positions:
Sm 0.237 0.250 0.252
Sm 0.763 0.750 0.748
Cd 0.249 0.750 0.474
Cd 0.274 0.250 0.866
Cd 0.726 0.750 0.134
Cd 0.751 0.250 0.526
Au 0.224 0.750 0.045
Au 0.257 0.250 0.652
Au 0.743 0.750 0.348
Au 0.776 0.250 0.955